(1)
Entry from Alexandria via LeMat-Bulk: a relaxed MoRuSeBr2 crystal (PBE).

Results
crystal system	tetragonal
raw formation energy	0.875	eV/atom

a b c (Å): 5.225 5.225 4.670
angles (deg): 90.00 90.00 90.00
Element x y z (fractional)
1 Ru 0.000 0.000 0.000
2 Mo 0.500 0.500 0.500
3 Se 0.000 0.000 0.500
4 Br 0.000 0.500 0.000
5 Br 0.500 0.000 0.000

***

(2)
Entry from Alexandria via LeMat-Bulk: a relaxed Na6Sr12Cd crystal (PBE).

Results
energy of formation from the pure elements	0.039	eV/atom
crystal system	trigonal

a b c (Å): 9.664 9.664 9.664
angles (deg): 88.37 88.37 88.37
Element x y z (fractional)
1 Na 0.737 0.897 0.257
2 Na 0.743 0.263 0.103
3 Na 0.103 0.743 0.263
4 Na 0.263 0.103 0.743
5 Na 0.257 0.737 0.897
6 Na 0.897 0.257 0.737
7 Sr 0.801 0.535 0.439
8 Sr 0.439 0.801 0.535
9 Sr 0.535 0.439 0.801
10 Sr 0.199 0.465 0.561
11 Sr 0.561 0.199 0.465
12 Sr 0.465 0.561 0.199
13 Sr 0.021 0.148 0.359
14 Sr 0.852 0.641 0.979
15 Sr 0.641 0.979 0.852
16 Sr 0.979 0.852 0.641
17 Sr 0.148 0.359 0.021
18 Sr 0.359 0.021 0.148
19 Cd 0.000 0.000 0.000

***

(3)
Entry from Alexandria via LeMat-Bulk: a relaxed Hf6Ti2Pb3 crystal (PBE).

Results
energy of formation from the pure elements	0.115	eV/atom
crystal system	orthorhombic

a b c (Å): 3.161 5.061 15.550
angles (deg): 99.37 95.83 90.00
Element x y z (fractional)
1 Hf 0.596 0.096 0.192
2 Hf 0.126 0.626 0.251
3 Hf 0.404 0.904 0.808
4 Hf 0.874 0.374 0.749
5 Hf 0.716 0.716 0.431
6 Hf 0.284 0.284 0.569
7 Ti 0.455 0.455 0.910
8 Ti 0.545 0.545 0.090
9 Pb 0.000 0.000 0.000
10 Pb 0.813 0.813 0.627
11 Pb 0.187 0.187 0.373

***

(4)
Entry from Alexandria via LeMat-Bulk: a relaxed Rb2SnOs crystal (PBE).

Results
energy of formation from the pure elements	0.796	eV/atom
crystal system	tetragonal

a b c (Å): 13.091 13.091 9.603
angles (deg): 47.03 47.03 90.00
Element x y z (fractional)
1 Os 0.000 0.000 0.000
2 Os 0.750 0.250 0.500
3 Sn 0.500 0.500 0.000
4 Sn 0.250 0.750 0.500
5 Rb 0.832 0.125 0.250
6 Rb 0.918 0.625 0.250
7 Rb 0.375 0.168 0.750
8 Rb 0.875 0.082 0.750

***

(5)
Entry from Alexandria via LeMat-Bulk: a relaxed CaCeTh crystal (PBE).

Results
energy of formation from the pure elements	0.173	eV/atom
crystal system	tetragonal

a b c (Å): 3.502 3.502 8.672
angles (deg): 101.65 101.65 90.00
Element x y z (fractional)
1 Ca 0.999 0.999 0.997
2 Ce 0.678 0.678 0.356
3 Th 0.323 0.323 0.647

***

(6)
Entry from Alexandria via LeMat-Bulk: a relaxed Hf6Te2As crystal (PBE).

Results
crystal system	monoclinic
raw formation energy	-0.386	eV/atom

a b c (Å): 6.040 7.402 8.888
angles (deg): 90.00 91.00 90.00
Element x y z (fractional)
1 Hf 0.896 0.991 0.208
2 Hf 0.851 0.670 0.555
3 Hf 0.858 0.695 0.940
4 Hf 0.642 0.195 0.560
5 Hf 0.649 0.170 0.945
6 Hf 0.604 0.491 0.292
7 Hf 0.104 0.009 0.792
8 Hf 0.149 0.330 0.445
9 Hf 0.142 0.305 0.060
10 Hf 0.358 0.805 0.440
11 Hf 0.351 0.830 0.055
12 Hf 0.396 0.509 0.708
13 Te 0.952 0.382 0.761
14 Te 0.548 0.882 0.739
15 Te 0.452 0.118 0.261
16 Te 0.048 0.618 0.239
17 As 0.500 0.500 0.000
18 As 0.000 0.000 0.500

***

| no. | total energy (eV/cell) |
| --- | --- |
| 1 | -22.6 |
| 2 | -28.3 |
| 3 | -85.4 |
| 4 | -28.0 |
| 5 | -14.8 |
| 6 | -148.2 |